[1]
First-principles (GGA-PBE) data for a geometry-optimized TaW7 structure, as listed in Alexandria.

Summary:
The calculation puts the energy of formation from the pure elements at 0.473 eV/atom. For the excess energy over the best structure of this formula in the dataset, the calculation gives 0.533 eV/atom. The space group is Fm-3m.

Cell lengths 5.7438, 5.7438, 5.7438 Å; angles 60.00, 60.00, 60.00 degrees
Atoms (fractional coordinates):
Ta1 0.0000 0.0000 0.0000
W1 0.0000 0.0000 0.5000
W2 0.5000 0.0000 0.5000
W3 0.0000 0.5000 0.5000
W4 0.5000 0.5000 0.0000
W5 0.0000 0.5000 0.0000
W6 0.5000 0.0000 0.0000
W7 0.5000 0.5000 0.5000

---

[2]
First-principles (GGA-PBE) data for a geometry-optimized Tb8PrSm6 structure, as listed in Alexandria.

Summary:
The calculation puts the energy of formation from the pure elements at 0.126 eV/atom. The space group is R-3.

Cell lengths 9.1395, 9.1395, 8.7161 Å; angles 58.38, 58.38, 60.00 degrees
Atoms (fractional coordinates):
Tb1 0.2553 0.2806 0.5757
Tb2 0.7194 0.1116 0.4243
Tb3 0.1116 0.7447 0.4243
Tb4 0.5765 0.5765 0.2704
Tb5 0.4235 0.4235 0.7296
Tb6 0.8884 0.2553 0.5757
Tb7 0.2806 0.8884 0.5757
Tb8 0.7447 0.7194 0.4243
Pr1 0.0000 0.0000 0.0000
Sm1 0.4627 0.8945 0.8743
Sm2 0.1055 0.2316 0.1257
Sm3 0.2316 0.5373 0.1257
Sm4 0.7684 0.4627 0.8743
Sm5 0.8945 0.7684 0.8743
Sm6 0.5373 0.1055 0.1257

---

> Among the records above, which one has the highest energy of formation from the pure elements?

TaW7